An optimized crystal structure of YLuAlAg, computed with PBE-GGA.

Values from the calculation:
The energy of formation is -34.7 kJ/mol of atoms. The density of states at the Fermi level comes out at 0.7167 states/eV/atom. Its symmetry is F-43m. As for the theoretical density: 7.05 g/cm3.

Cell lengths 5.1028, 5.1028, 5.1028 Å; angles 60.00, 60.00, 60.00 degrees
Closest atoms and distances in Å follow each position.
Fractional coordinates of all 4 atoms:
1 Y 0.0000 0.0000 0.0000  4 Ag 3.12, 4 Al 3.12
2 Lu 0.5000 0.5000 0.5000  4 Al 3.12, 4 Ag 3.12
3 Al 0.7500 0.7500 0.7500  4 Y 3.12, 4 Lu 3.12
4 Ag 0.2500 0.2500 0.2500  4 Lu 3.12, 4 Y 3.12

=====

An optimized crystal structure of LuAlZnAg, computed with PBE-GGA.

Values from the calculation:
The energy of formation is -28.7 kJ/mol of atoms. The density of states at the Fermi level comes out at 0.6172 states/eV/atom. Its symmetry is F-43m. As for the theoretical density: 8.43 g/cm3.

Cell lengths 4.7104, 4.7104, 4.7104 Å; angles 60.00, 60.00, 60.00 degrees
Closest atoms and distances in Å follow each position.
Fractional coordinates of all 4 atoms:
1 Lu 0.0000 0.0000 0.0000  4 Zn 2.88, 4 Ag 2.88
2 Al 0.5000 0.5000 0.5000  4 Zn 2.88, 4 Ag 2.88
3 Zn 0.7500 0.7500 0.7500  4 Al 2.88, 4 Lu 2.88
4 Ag 0.2500 0.2500 0.2500  4 Al 2.88, 4 Lu 2.88

=====

An optimized crystal structure of LuZrAlAg, computed with PBE-GGA.

Values from the calculation:
The energy of formation is 0.7 kJ/mol of atoms. The density of states at the Fermi level comes out at 0.8355 states/eV/atom. Its symmetry is F-43m. As for the theoretical density: 7.81 g/cm3.

Cell lengths 4.9411, 4.9411, 4.9411 Å; angles 60.00, 60.00, 60.00 degrees
Closest atoms and distances in Å follow each position.
Fractional coordinates of all 4 atoms:
1 Lu 0.0000 0.0000 0.0000  4 Al 3.03, 4 Ag 3.03
2 Zr 0.5000 0.5000 0.5000  4 Al 3.03, 4 Ag 3.03
3 Al 0.7500 0.7500 0.7500  4 Zr 3.03, 4 Lu 3.03
4 Ag 0.2500 0.2500 0.2500  4 Zr 3.03, 4 Lu 3.03

=====

An optimized crystal structure of Mg8AlAg2, computed with PBE-GGA.

Values from the calculation:
The energy above the most stable polymorph in this dataset is 0 meV per atom. The energy of formation is -6.8 kJ/mol of atoms. The density of states at the Fermi level comes out at 0.2848 states/eV/atom. Its symmetry is P1. As for the theoretical density: 3.13 g/cm3.

Cell lengths 4.6686, 6.8743, 8.3103 Å; angles 114.32, 106.03, 90.01 degrees
Closest atoms and distances in Å follow each position.
Fractional coordinates of all 11 atoms:
1 Mg 0.0000 0.0000 0.0000  3 Ag 2.80-2.84, 5 Mg 2.99-3.09
2 Mg 0.0414 0.5743 0.0845  1 Al 2.90, 3 Ag 2.95-3.08, 2 Mg 3.04-3.05
3 Mg 0.2053 0.0694 0.4084  1 Al 2.86, 4 Mg 3.08-3.13
4 Mg 0.3661 0.8984 0.7315  1 Al 2.90, 3 Ag 2.95-3.05, 3 Mg 3.04-3.25
5 Mg 0.4078 0.4043 0.8164  3 Ag 2.80-2.84, 5 Mg 3.00-3.08
6 Mg 0.5931 0.2842 0.1851  1 Ag 2.83, 2 Al 2.90-2.91, 3 Mg 2.99-3.01
7 Mg 0.7042 0.7654 0.4068  2 Ag 2.79, 2 Mg 3.01, 2 Al 3.03
8 Mg 0.8185 0.5143 0.6368  1 Ag 2.83, 2 Al 2.91-2.92, 3 Mg 3.00-3.01
9 Al 0.2048 0.4855 0.4088  9 Mg 2.86-3.03
10 Ag 0.5436 0.8378 0.0887  8 Mg 2.79-3.05
11 Ag 0.8617 0.1556 0.7229  8 Mg 2.79-3.08

=====

An optimized crystal structure of MgAl2Ag, computed with PBE-GGA.

Values from the calculation:
The energy of formation is 3.8 kJ/mol of atoms. The density of states at the Fermi level comes out at 0.6796 states/eV/atom. Its symmetry is F-43m. As for the theoretical density: 4.27 g/cm3.

Cell lengths 4.6764, 4.6764, 4.6764 Å; angles 60.00, 60.00, 60.00 degrees
Closest atoms and distances in Å follow each position.
Fractional coordinates of all 4 atoms:
1 Mg 0.0000 0.0000 0.0000  4 Ag 2.86, 4 Al 2.86
2 Al 0.2500 0.2500 0.2500  4 Mg 2.86, 4 Al 2.86
3 Al 0.5000 0.5000 0.5000  4 Ag 2.86, 4 Al 2.86
4 Ag 0.7500 0.7500 0.7500  4 Al 2.86, 4 Mg 2.86

=====

An optimized crystal structure of Mg4AlAg7, computed with PBE-GGA.

Values from the calculation:
The energy of formation is -3.7 kJ/mol of atoms. The density of states at the Fermi level comes out at 0.2651 states/eV/atom. Its symmetry is C2/m. As for the theoretical density: 6.15 g/cm3.

Cell lengths 5.7235, 5.7235, 10.3954 Å; angles 113.98, 113.98, 51.38 degrees
Closest atoms and distances in Å follow each position.
Fractional coordinates of all 12 atoms:
1 Mg 0.1029 0.1029 0.2724  8 Ag 2.87-3.00
2 Mg 0.2602 0.2602 0.8274  5 Ag 2.73-3.04
3 Mg 0.7398 0.7398 0.1726  5 Ag 2.73-3.04
4 Mg 0.8971 0.8971 0.7276  8 Ag 2.87-3.00
5 Al 0.5000 0.5000 0.5000  4 Ag 2.48-2.58
6 Ag 0.0000 0.0000 0.5000  2 Al 2.48, 2 Ag 2.77
7 Ag 0.1392 0.1392 0.0132  5 Mg 2.73-2.90, 4 Ag 2.76-2.97
8 Ag 0.2948 0.2948 0.5774  1 Al 2.58, 4 Ag 2.77-2.87, 4 Mg 2.78-2.88
9 Ag 0.4415 0.4415 0.1635  4 Ag 2.79-2.97, 3 Mg 2.92-3.04
10 Ag 0.5585 0.5585 0.8365  4 Ag 2.79-2.97, 3 Mg 2.92-3.04
11 Ag 0.7052 0.7052 0.4226  1 Al 2.58, 4 Ag 2.77-2.87, 4 Mg 2.78-2.88
12 Ag 0.8608 0.8608 0.9868  5 Mg 2.73-2.90, 4 Ag 2.76-2.97

=====

An optimized crystal structure of Mg2AlAg4, computed with PBE-GGA.

Values from the calculation:
The energy above the most stable polymorph in this dataset is 0 meV per atom. The energy of formation is -7.3 kJ/mol of atoms. The density of states at the Fermi level comes out at 0.2958 states/eV/atom. Its symmetry is I4/mmm. As for the theoretical density: 6.26 g/cm3.

Cell lengths 5.6747, 5.6747, 5.6747 Å; angles 116.91, 116.91, 95.44 degrees
Closest atoms and distances in Å follow each position.
Fractional coordinates of all 7 atoms:
1 Mg 0.0000 0.5000 0.5000  8 Ag 2.84, 2 Al 2.97
2 Mg 0.5000 0.0000 0.5000  8 Ag 2.84, 2 Al 2.97
3 Al 0.0000 0.0000 0.0000  8 Ag 2.84, 4 Mg 2.97
4 Ag 0.0000 0.0000 0.5000  4 Mg 2.84, 2 Al 2.84, 4 Ag 2.97
5 Ag 0.0000 0.5000 0.0000  4 Mg 2.84, 2 Al 2.84, 4 Ag 2.97
6 Ag 0.5000 0.0000 0.0000  4 Mg 2.84, 2 Al 2.84, 4 Ag 2.97
7 Ag 0.5000 0.5000 0.5000  4 Mg 2.84, 2 Al 2.84, 4 Ag 2.97

=====

An optimized crystal structure of Mg16Al12Ag, computed with PBE-GGA.

Values from the calculation:
The energy above the most stable polymorph in this dataset is 10 meV per atom. The energy of formation is -2.9 kJ/mol of atoms. The density of states at the Fermi level comes out at 0.3387 states/eV/atom. Its symmetry is R3m. As for the theoretical density: 2.35 g/cm3.

Cell lengths 9.0652, 9.0652, 9.0652 Å; angles 109.23, 109.23, 109.23 degrees
Closest atoms and distances in Å follow each position.
Fractional coordinates of all 29 atoms:
1 Mg 0.0000 0.0000 0.0000  1 Ag 2.84, 3 Al 3.12, 3 Mg 3.13
2 Mg 0.2829 0.6830 0.6830  5 Al 2.98-3.13, 7 Mg 3.02-3.15
3 Mg 0.3172 0.5942 0.9969  5 Al 2.89-3.11, 6 Mg 3.04-3.20
4 Mg 0.3172 0.9969 0.5942  5 Al 2.89-3.11, 6 Mg 3.04-3.20
5 Mg 0.3439 0.9977 0.9977  4 Mg 3.02-3.13, 6 Al 3.04-3.14
6 Mg 0.4092 0.4092 0.7018  5 Al 2.94-3.15, 1 Ag 3.01, 6 Mg 3.09-3.26
7 Mg 0.4092 0.7018 0.4092  5 Al 2.94-3.15, 1 Ag 3.01, 6 Mg 3.09-3.26
8 Mg 0.5942 0.3172 0.9969  5 Al 2.89-3.11, 6 Mg 3.04-3.20
9 Mg 0.5942 0.9969 0.3172  5 Al 2.89-3.11, 6 Mg 3.04-3.20
10 Mg 0.6830 0.2829 0.6830  5 Al 2.98-3.13, 7 Mg 3.02-3.15
11 Mg 0.6830 0.6830 0.2829  5 Al 2.98-3.13, 7 Mg 3.02-3.15
12 Mg 0.7018 0.4092 0.4092  5 Al 2.94-3.15, 1 Ag 3.01, 6 Mg 3.09-3.26
13 Mg 0.9969 0.3172 0.5942  5 Al 2.89-3.11, 6 Mg 3.04-3.20
14 Mg 0.9969 0.5942 0.3172  5 Al 2.89-3.11, 6 Mg 3.04-3.20
15 Mg 0.9977 0.3439 0.9977  4 Mg 3.02-3.13, 6 Al 3.04-3.14
16 Mg 0.9977 0.9977 0.3439  4 Mg 3.02-3.13, 6 Al 3.04-3.14
17 Al 0.0006 0.6330 0.8156  3 Al 2.70-2.75, 3 Mg 2.89-3.00, 1 Ag 2.95
18 Al 0.0006 0.8156 0.6330  3 Al 2.70-2.75, 3 Mg 2.89-3.00, 1 Ag 2.95
19 Al 0.1674 0.3546 0.3546  3 Al 2.69-2.77, 3 Mg 2.94-2.98
20 Al 0.1842 0.1842 0.8070  3 Al 2.69-2.75, 3 Mg 2.96-3.01
21 Al 0.1842 0.8070 0.1842  3 Al 2.69-2.75, 3 Mg 2.96-3.01
22 Al 0.3546 0.1674 0.3546  3 Al 2.69-2.77, 3 Mg 2.94-2.98
23 Al 0.3546 0.3546 0.1674  3 Al 2.69-2.77, 3 Mg 2.94-2.98
24 Al 0.6330 0.0006 0.8156  3 Al 2.70-2.75, 3 Mg 2.89-3.00, 1 Ag 2.95
25 Al 0.6330 0.8156 0.0006  3 Al 2.70-2.75, 3 Mg 2.89-3.00, 1 Ag 2.95
26 Al 0.8070 0.1842 0.1842  3 Al 2.69-2.75, 3 Mg 2.96-3.01
27 Al 0.8156 0.0006 0.6330  3 Al 2.70-2.75, 3 Mg 2.89-3.00, 1 Ag 2.95
28 Al 0.8156 0.6330 0.0006  3 Al 2.70-2.75, 3 Mg 2.89-3.00, 1 Ag 2.95
29 Ag 0.6909 0.6909 0.6909  4 Mg 2.84-3.01, 6 Al 2.95

=====

An optimized crystal structure of MgAl2Ag, computed with PBE-GGA.

Values from the calculation:
The energy of formation is -2.8 kJ/mol of atoms. The density of states at the Fermi level comes out at 0.3090 states/eV/atom. Its symmetry is F222. As for the theoretical density: 4.31 g/cm3.

Cell lengths 5.1046, 5.0377, 4.1725 Å; angles 66.55, 64.87, 48.58 degrees
Closest atoms and distances in Å follow each position.
Fractional coordinates of all 4 atoms:
1 Mg 0.0000 0.0000 0.0000  8 Al 2.89-3.01, 4 Ag 2.93
2 Al 0.5000 0.5000 0.5000  4 Mg 2.89-3.01, 4 Al 2.93, 4 Ag 2.93
3 Al 0.7500 0.7500 0.7500  4 Ag 2.89-3.01, 4 Al 2.93, 4 Mg 2.93
4 Ag 0.2500 0.2500 0.2500  8 Al 2.89-3.01, 4 Mg 2.93

=====

An optimized crystal structure of Mg8AlAg6, computed with PBE-GGA.

Values from the calculation:
The energy of formation is -13.4 kJ/mol of atoms. The density of states at the Fermi level comes out at 0.4729 states/eV/atom. Its symmetry is R-3. As for the theoretical density: 4.62 g/cm3.

Cell lengths 7.3483, 7.3483, 7.3483 Å; angles 65.19, 65.19, 65.19 degrees
Closest atoms and distances in Å follow each position.
Fractional coordinates of all 15 atoms:
1 Mg 0.0449 0.7190 0.3828  5 Ag 2.87-2.92, 3 Mg 3.12-3.15
2 Mg 0.1648 0.1648 0.1648  6 Ag 2.80-2.81
3 Mg 0.2810 0.6172 0.9551  5 Ag 2.87-2.92, 3 Mg 3.12-3.15
4 Mg 0.3828 0.0449 0.7190  5 Ag 2.87-2.92, 3 Mg 3.12-3.15
5 Mg 0.6172 0.9551 0.2810  5 Ag 2.87-2.92, 3 Mg 3.12-3.15
6 Mg 0.7190 0.3828 0.0449  5 Ag 2.87-2.92, 3 Mg 3.12-3.15
7 Mg 0.8352 0.8352 0.8352  6 Ag 2.80-2.81
8 Mg 0.9551 0.2810 0.6172  5 Ag 2.87-2.92, 3 Mg 3.12-3.15
9 Al 0.5000 0.5000 0.5000  6 Ag 2.71
10 Ag 0.1250 0.4509 0.7755  1 Al 2.71, 7 Mg 2.80-2.92
11 Ag 0.2245 0.8750 0.5491  1 Al 2.71, 7 Mg 2.80-2.92
12 Ag 0.4509 0.7755 0.1250  1 Al 2.71, 7 Mg 2.80-2.92
13 Ag 0.5491 0.2245 0.8750  1 Al 2.71, 7 Mg 2.80-2.92
14 Ag 0.7755 0.1250 0.4509  1 Al 2.71, 7 Mg 2.80-2.92
15 Ag 0.8750 0.5491 0.2245  1 Al 2.71, 7 Mg 2.80-2.92

=====

An optimized crystal structure of MgAl2Ag, computed with PBE-GGA.

Values from the calculation:
The energy of formation is -2.2 kJ/mol of atoms. The density of states at the Fermi level comes out at 0.3192 states/eV/atom. Its symmetry is I4/mmm. As for the theoretical density: 4.29 g/cm3.

Cell lengths 5.1838, 5.1838, 5.1838 Å; angles 133.47, 133.47, 67.92 degrees
Closest atoms and distances in Å follow each position.
Fractional coordinates of all 4 atoms:
1 Mg 0.0000 0.0000 0.0000  4 Ag 2.90, 8 Al 2.97
2 Al 0.2500 0.7500 0.5000  4 Al 2.90, 4 Ag 2.97, 4 Mg 2.97
3 Al 0.7500 0.2500 0.5000  4 Al 2.90, 4 Ag 2.97, 4 Mg 2.97
4 Ag 0.5000 0.5000 0.0000  4 Mg 2.90, 8 Al 2.97

=====

An optimized crystal structure of Mg2Al2Ag, computed with PBE-GGA.

Values from the calculation:
The energy above the most stable polymorph in this dataset is 308 meV per atom. The energy of formation is 27.2 kJ/mol of atoms. The density of states at the Fermi level comes out at 0.3564 states/eV/atom. Its symmetry is I4/mmm. As for the theoretical density: 3.26 g/cm3.

Cell lengths 7.0847, 7.0847, 7.0847 Å; angles 146.63, 146.63, 47.90 degrees
Closest atoms and distances in Å follow each position.
Fractional coordinates of all 5 atoms:
1 Mg 0.2500 0.7500 0.5000  4 Al 2.85, 4 Mg 2.88
2 Mg 0.7500 0.2500 0.5000  4 Al 2.85, 4 Mg 2.88
3 Al 0.0955 0.0955 0.0000  1 Al 2.47
4 Al 0.9045 0.9045 0.0000  1 Al 2.47
5 Ag 0.5000 0.5000 0.0000  8 Al 3.13